# 1
# Na3AcSm2O6

Crystalline Na3AcSm2O6 at its relaxed geometry (PBE, Alexandria via LeMat-Bulk).

Summary:
Density of states at the Fermi level, states/eV per cell: 0.00
ΔE_f (raw), eV per atom: -2.614

a = 15.632 Å, b = 3.602 Å, c = 6.993 Å
α = 90.00°, β = 100.44°, γ = 90.00°
Space group C2/m (No. 12)
One atom of each set of equivalent atoms:
Na 0.000 0.000 0.000 [2 per cell]
Na 0.177 0.500 0.340 [4 per cell]
Ac 0.000 0.000 0.500 [2 per cell]
Sm 0.168 0.500 0.844 [4 per cell]
O 0.014 0.500 0.750 [4 per cell]
O 0.163 0.000 0.615 [4 per cell]
O 0.178 0.000 0.069 [4 per cell]

---

# 2
# Sm4PaSe5

Crystalline Sm4PaSe5 at its relaxed geometry (PBE, Alexandria via LeMat-Bulk).

Summary:
Density of states at the Fermi level, states/eV per cell: 15.49
ΔE_f (raw), eV per atom: -1.690

a = 4.114 Å, b = 5.858 Å, c = 20.952 Å
α = 90.00°, β = 90.00°, γ = 90.00°
Space group Immm (No. 71)
One atom of each set of equivalent atoms:
Sm 0.000 0.000 0.099 [4 per cell]
Sm 0.000 0.000 0.306 [4 per cell]
Pa 0.000 0.000 0.500 [2 per cell]
Se 0.000 0.500 0.097 [4 per cell]
Se 0.000 0.500 0.298 [4 per cell]
Se 0.000 0.500 0.500 [2 per cell]

---

# 3
# Sr2DySnS5

Crystalline Sr2DySnS5 at its relaxed geometry (PBE, Alexandria via LeMat-Bulk).

Summary:
Density of states at the Fermi level, states/eV per cell: 8.12
ΔE_f (raw), eV per atom: -1.584

a = 4.159 Å, b = 17.299 Å, c = 12.691 Å
α = 90.00°, β = 90.00°, γ = 90.00°
Space group Cmc2_1 (No. 36)
One atom of each set of equivalent atoms:
Sr 0.000 0.110 0.000 [4 per cell]
Sr 0.000 0.138 0.623 [4 per cell]
Dy 0.000 0.215 0.337 [4 per cell]
Sn 0.000 0.466 0.772 [4 per cell]
S 0.000 0.055 0.388 [4 per cell]
S 0.000 0.281 0.980 [4 per cell]
S 0.000 0.316 0.695 [4 per cell]
S 0.000 0.368 0.317 [4 per cell]
S 0.000 0.492 0.083 [4 per cell]

---

Q: Which of these has the highest density of states at the Fermi level?
A: Sm4PaSe5

---

Q: The highest ΔE_f (raw) belongs to which entry?
A: Sr2DySnS5